No. 1
Density functional theory data (PBE) for a relaxed structure of BaReBi2.

Structure (POSCAR):
```
BaReBi2
1.0
0.0000 3.7595 3.7595
3.7595 0.0000 3.7595
3.7595 3.7595 0.0000
Re Bi Ba
1 2 1
Direct
0.5000 0.5000 0.5000
0.2500 0.2500 0.2500
0.7500 0.7500 0.7500
0.0000 0.0000 0.0000
```

Calculated values
total energy: -4.960 eV/atom
space-group type: Fm-3m, No. 225
magnetization: 0.00 μB/f.u.
E above lowest polymorph: 0.025 eV per atom
E_form: 0.5728 eV per atom
V: 106.3 Å³ per cell
density: 11.6 g/cm3
D(E_F): 0.790 states/eV per atom

No. 2
Density functional theory data (PBE) for a relaxed structure of BaSrRe2Bi.

Structure (POSCAR):
```
BaSrRe2Bi
1.0
5.2138 0.0000 0.0000
0.0000 6.1285 0.0000
0.0000 0.0000 5.2138
Re Bi Sr Ba
2 1 1 1
Direct
0.0000 0.0000 0.5000
0.5000 0.0000 0.0000
0.0000 0.0000 0.0000
0.5000 0.5000 0.5000
0.0000 0.5000 0.0000
```

Calculated values
total energy: -4.762 eV/atom
space-group type: P4/mmm, No. 123
magnetization: 1.89 μB/f.u.
E_form: 1.7144 eV per atom
V: 166.6 Å³ per cell
density: 8.0 g/cm3
D(E_F): 0.798 states/eV per atom

No. 3
Density functional theory data (PBE) for a relaxed structure of Ba2Bi2Rh.

Structure (POSCAR):
```
Ba2Bi2Rh
1.0
4.8186 0.0000 0.0000
2.4093 6.3825 -0.1441
2.4093 0.1044 11.3103
Ba Bi Rh
4 4 2
Direct
0.6443 0.3662 0.3452
0.9393 0.2336 0.8878
0.3557 0.6338 0.6548
0.0607 0.7664 0.1122
0.1248 0.1873 0.5631
0.6643 0.8155 0.8558
0.8752 0.8127 0.4369
0.3357 0.1845 0.1442
0.6493 0.0511 0.6503
0.3507 0.9489 0.3497
```

Calculated values
total energy: -4.432 eV/atom
space-group type: C2/m, No. 12
magnetization: 0.00 μB/f.u.
E above lowest polymorph: 0.000 eV per atom
E_form: -0.6406 eV per atom
V: 347.9 Å³ per cell
density: 7.6 g/cm3
D(E_F): 0.770 states/eV per atom

No. 4
Density functional theory data (PBE) for a relaxed structure of Ba3Bi4Rh2.

Structure (POSCAR):
```
Ba3Bi4Rh2
1.0
-2.0029 -3.5558 -2.7423
3.6328 -2.6258 5.1594
-8.6132 1.7694 3.9965
Ba Bi Rh
3 4 2
Direct
0.6140 0.2280 0.6903
0.0000 0.0000 0.0000
0.3860 0.7720 0.3097
0.7120 0.4241 0.0988
0.2880 0.5759 0.9012
0.8895 0.7789 0.6114
0.1105 0.2211 0.3886
0.7069 0.4137 0.3954
0.2931 0.5863 0.6046
```

Calculated values
total energy: -4.612 eV/atom
space-group type: C2/m, No. 12
magnetization: 0.00 μB/f.u.
E_form: -0.6126 eV per atom
V: 293.3 Å³ per cell
density: 8.2 g/cm3
D(E_F): 0.514 states/eV per atom

Among the records above, which one has the lowest E_form?
Ba2Bi2Rh

What is the formula in the fourth record?
Ba3Bi4Rh2

Among the records above, which one has the highest V?
Ba2Bi2Rh

D(E_F) of number 2 (BaSrRe2Bi)?
0.798 states/eV per atom